[1]
# KMg2Ag | Alexandria | PBE | relaxed
# - E: -1.579 eV/atom
# - DOS(E_F): 7.61 states/eV/cell
data_KMg2Ag
_cell_length_a 7.5914
_cell_length_b 7.5914
_cell_length_c 7.5914
_cell_angle_alpha 90.00
_cell_angle_beta 90.00
_cell_angle_gamma 90.00
_symmetry_space_group_name_H-M 'F -4 3 m'
_symmetry_Int_Tables_number 216
_symmetry_space_group_name_Hall 'F -4 2 3'
loop_
_atom_site_label
_atom_site_type_symbol
_atom_site_fract_x
_atom_site_fract_y
_atom_site_fract_z
K1 K 0.0000 0.0000 0.0000
Mg1 Mg 0.0000 0.0000 0.5000
Mg2 Mg 0.2500 0.2500 0.7500
Ag1 Ag 0.2500 0.2500 0.2500

[2]
# BaCa2Pd | Alexandria | PBE | relaxed
# - E: -2.997 eV/atom
# - DOS(E_F): 15.25 states/eV/cell
data_BaCa2Pd
_cell_length_a 9.6256
_cell_length_b 9.6256
_cell_length_c 6.7113
_cell_angle_alpha 90.00
_cell_angle_beta 90.00
_cell_angle_gamma 90.00
_symmetry_space_group_name_H-M 'I -4 2 d'
_symmetry_Int_Tables_number 122
_symmetry_space_group_name_Hall 'I -4 2bw'
loop_
_atom_site_label
_atom_site_type_symbol
_atom_site_fract_x
_atom_site_fract_y
_atom_site_fract_z
Ba1 Ba 0.0000 0.0000 0.0000
Ca1 Ca 0.1458 0.2500 0.6250
Pd1 Pd 0.0000 0.0000 0.5000

[3]
# Cr3Br | Alexandria | PBE | relaxed
# - E: -6.847 eV/atom
# - DOS(E_F): 7.18 states/eV/cell
# - ΔE_f (raw): 0.789 eV per atom
data_Cr3Br
_cell_length_a 8.8773
_cell_length_b 2.9482
_cell_length_c 4.4353
_cell_angle_alpha 90.00
_cell_angle_beta 97.70
_cell_angle_gamma 90.00
_symmetry_space_group_name_H-M 'C 1 2/m 1'
_symmetry_Int_Tables_number 12
_symmetry_space_group_name_Hall '-C 2y'
loop_
_atom_site_label
_atom_site_type_symbol
_atom_site_fract_x
_atom_site_fract_y
_atom_site_fract_z
Cr1 Cr 0.0000 0.0000 0.0000
Cr2 Cr 0.2400 0.5000 0.1870
Br1 Br 0.0000 0.5000 0.5000

[4]
# Li2CdBr4 | Alexandria | PBE | relaxed
# - E: -2.872 eV/atom
# - DOS(E_F): 0.00 states/eV/cell
# - ΔE_f (raw): -1.238 eV per atom
data_Li2CdBr4
_cell_length_a 6.0052
_cell_length_b 6.0052
_cell_length_c 11.8616
_cell_angle_alpha 90.00
_cell_angle_beta 90.00
_cell_angle_gamma 90.00
_symmetry_space_group_name_H-M 'I -4 2 m'
_symmetry_Int_Tables_number 121
_symmetry_space_group_name_Hall 'I -4 2'
loop_
_atom_site_label
_atom_site_type_symbol
_atom_site_fract_x
_atom_site_fract_y
_atom_site_fract_z
Li1 Li 0.0000 0.5000 0.2500
Cd1 Cd 0.0000 0.0000 0.0000
Br1 Br 0.2459 0.2459 0.3707

[5]
# HfNiPd | Alexandria | PBE | relaxed
# - E: -7.579 eV/atom
# - DOS(E_F): 4.35 states/eV/cell
data_HfNiPd
_cell_length_a 3.3307
_cell_length_b 3.3307
_cell_length_c 8.5378
_cell_angle_alpha 90.00
_cell_angle_beta 90.00
_cell_angle_gamma 90.00
_symmetry_space_group_name_H-M 'I 4 m m'
_symmetry_Int_Tables_number 107
_symmetry_space_group_name_Hall 'I 4 -2'
loop_
_atom_site_label
_atom_site_type_symbol
_atom_site_fract_x
_atom_site_fract_y
_atom_site_fract_z
Hf1 Hf 0.0000 0.0000 0.0000
Ni1 Ni 0.0000 0.0000 0.6520
Pd1 Pd 0.0000 0.0000 0.3263

[6]
# CePrSm | Alexandria | PBE | relaxed
# - E: -5.067 eV/atom
# - DOS(E_F): 6.50 states/eV/cell
data_CePrSm
_cell_length_a 3.5831
_cell_length_b 3.5831
_cell_length_c 8.8327
_cell_angle_alpha 90.00
_cell_angle_beta 90.00
_cell_angle_gamma 120.00
_symmetry_space_group_name_H-M 'P 3 m 1'
_symmetry_Int_Tables_number 156
_symmetry_space_group_name_Hall 'P 3 -2"'
loop_
_atom_site_label
_atom_site_type_symbol
_atom_site_fract_x
_atom_site_fract_y
_atom_site_fract_z
Ce1 Ce 0.0000 0.0000 0.0000
Pr1 Pr 0.6667 0.3333 0.3257
Sm1 Sm 0.3333 0.6667 0.6801

[7]
# Y3GeSe6 | Alexandria | PBE | relaxed
# - E: -5.914 eV/atom
# - DOS(E_F): 14.12 states/eV/cell
# - ΔE_f (raw): -1.423 eV per atom
data_Y3GeSe6
_cell_length_a 11.2003
_cell_length_b 13.9675
_cell_length_c 6.8901
_cell_angle_alpha 90.00
_cell_angle_beta 90.00
_cell_angle_gamma 90.00
_symmetry_space_group_name_H-M 'C m c 21'
_symmetry_Int_Tables_number 36
_symmetry_space_group_name_Hall 'C 2c -2'
loop_
_atom_site_label
_atom_site_type_symbol
_atom_site_fract_x
_atom_site_fract_y
_atom_site_fract_z
Y1 Y 0.0000 0.0962 0.0000
Y2 Y 0.1845 0.4020 0.0931
Ge1 Ge 0.0000 0.2990 0.6348
Se1 Se 0.0000 0.2811 0.2555
Se2 Se 0.0000 0.4655 0.7907
Se3 Se 0.1624 0.0328 0.2952
Se4 Se 0.1718 0.2312 0.8224

[8]
# CsInFe3 | Alexandria | PBE | relaxed
# - E: -3.475 eV/atom
# - DOS(E_F): 8.13 states/eV/cell
data_CsInFe3
_cell_length_a 4.8845
_cell_length_b 4.8845
_cell_length_c 4.8845
_cell_angle_alpha 90.00
_cell_angle_beta 90.00
_cell_angle_gamma 90.00
_symmetry_space_group_name_H-M 'P m -3 m'
_symmetry_Int_Tables_number 221
_symmetry_space_group_name_Hall '-P 4 2 3'
loop_
_atom_site_label
_atom_site_type_symbol
_atom_site_fract_x
_atom_site_fract_y
_atom_site_fract_z
Cs1 Cs 0.0000 0.0000 0.0000
In1 In 0.5000 0.5000 0.5000
Fe1 Fe 0.0000 0.0000 0.5000

Which value of DOS(E_F) does entry 1 give?
7.61 states/eV/cell

Among the records above, which one has the lowest DOS(E_F)?
Li2CdBr4